1.
A relaxed structure of Fe3GeN, computed with PBE-GGA.

## Properties
**DFT total energy**: -7.655 eV per atom
**Total magnetic moment**: 7.8 Bohr magnetons per cell
**Space group**: Cmcm (63)

Unit cell a=5.3282 b=5.3282 c=7.3610 alpha=90.00 beta=90.00 gamma=149.69
Closest atoms and distances in Å follow each position.
Sites, in units of the cell vectors:
Fe 0.5351 0.4649 0.2500  2 N 1.88
Fe 0.4649 0.5351 0.7500  2 N 1.88
Fe 0.1279 0.8721 0.9666  2 N 1.93
Fe 0.1279 0.8721 0.5334  2 N 1.93
Fe 0.8721 0.1279 0.0334  2 N 1.93
Fe 0.8721 0.1279 0.4666  2 N 1.93
Ge 0.7552 0.2448 0.7500  8 Fe 2.41-2.57
Ge 0.2448 0.7552 0.2500  8 Fe 2.41-2.57
N 0.5000 0.5000 0.0000  6 Fe 1.88-1.93
N 0.5000 0.5000 0.5000  6 Fe 1.88-1.93

***

2.
A relaxed structure of Nb4FeGeN2, computed with PBE-GGA.

## Properties
**DFT total energy**: -9.233 eV per atom
**Total magnetic moment**: 1.4 Bohr magnetons per cell
**Space group**: P-6m2 (187)

Unit cell a=3.1342 b=3.1342 c=13.0463 alpha=90.00 beta=90.00 gamma=120.00
Closest atoms and distances in Å follow each position.
Sites, in units of the cell vectors:
Nb 0.6667 0.3333 0.1613  3 N 2.19
Nb 0.0000 0.0000 0.6518  3 N 2.17
Nb 0.6667 0.3333 0.8387  3 N 2.19
Nb 0.0000 0.0000 0.3482  3 N 2.17
Fe 0.6667 0.3333 0.5000  6 Nb 2.68
N 0.3333 0.6667 0.2558  6 Nb 2.17-2.19
N 0.3333 0.6667 0.7442  6 Nb 2.17-2.19
Ge 0.0000 0.0000 0.0000  6 Nb 2.78

***

Repeat the second record exactly.
A relaxed structure of Nb4FeGeN2, computed with PBE-GGA.

## Properties
**DFT total energy**: -9.233 eV per atom
**Total magnetic moment**: 1.4 Bohr magnetons per cell
**Space group**: P-6m2 (187)

Unit cell a=3.1342 b=3.1342 c=13.0463 alpha=90.00 beta=90.00 gamma=120.00
Closest atoms and distances in Å follow each position.
Sites, in units of the cell vectors:
Nb 0.6667 0.3333 0.1613  3 N 2.19
Nb 0.0000 0.0000 0.6518  3 N 2.17
Nb 0.6667 0.3333 0.8387  3 N 2.19
Nb 0.0000 0.0000 0.3482  3 N 2.17
Fe 0.6667 0.3333 0.5000  6 Nb 2.68
N 0.3333 0.6667 0.2558  6 Nb 2.17-2.19
N 0.3333 0.6667 0.7442  6 Nb 2.17-2.19
Ge 0.0000 0.0000 0.0000  6 Nb 2.78

***

What is the total magnetic moment in the second record? 1.4 Bohr magnetons per cell

***

Which value of total magnetic moment does entry 1 give? 7.8 Bohr magnetons per cell